Computed, not measured: a relaxed LiTlN2O crystal at the GGA-PBE level of DFT.

calculated total energy: -19.52 eV per cell
ΔE_f (raw): 6.4 eV per formula unit

a b c (Å): 4.052 4.052 3.688
angles (deg): 90.00 90.00 90.00
Last column: magnetic moment on the atom in μB.
Atoms (fractional coordinates):
N 0.500 0.000 0.000  1.20
N 0.000 0.500 0.000  1.20
Li 0.000 0.000 0.000  0.03
Tl 0.500 0.500 0.500  -0.06
O 0.000 0.000 0.500  0.89